Below is Sr3Li2Tl2 after structural relaxation, with properties calculated at the GGA-PBE level.

* energy relative to the elements: -249 meV/atom
* D(E_F): 0.7892 states/eV/atom
* size of the total moment: 0.0 μB per cell

a = 4.3903 Å, b = 5.0331 Å, c = 21.4365 Å
α = 90.00°, β = 90.00°, γ = 90.00°
Space group Immm (No. 71)
Asymmetric unit:
Sr 0.0000 0.0000 0.0000 (multiplicity 2)
Sr 0.0000 0.5000 0.1914 (multiplicity 4)
Li 0.0000 0.0000 0.4310 (multiplicity 4)
Tl 0.0000 0.5000 0.3647 (multiplicity 4)